Material: Ce4Th2Al
Method: DFT, PBE-GGA
State: relaxed

Geometry as POSCAR:
```
Ce4Th2Al
1.0
3.3523 0.0000 0.0000
0.0000 34.4156 0.0000
0.0000 0.0000 3.3689
Ce Th Al
8 4 2
direct
0.0000 0.0607 0.0000
0.0000 0.3675 0.5000
0.0000 0.6325 0.5000
0.0000 0.9393 0.0000
0.5000 0.1325 0.5000
0.5000 0.4393 0.0000
0.5000 0.5607 0.0000
0.5000 0.8675 0.5000
0.0000 0.2071 0.0000
0.0000 0.7929 0.0000
0.5000 0.2929 0.0000
0.5000 0.7071 0.0000
0.0000 0.5000 0.5000
0.5000 0.0000 0.5000
```

Computed properties:
For the calculated density, the calculation gives 8.985 g/cm3. The value obtained for the formation energy is 45.8 meV/atom. The spin magnetization is 0.006 μB/f.u. Its space group is Cmmm.

Material: Ce3ThAl8
Method: DFT, PBE-GGA
State: relaxed

Geometry as POSCAR:
```
Ce3ThAl8
1.0
2.8216 1.6291 9.1867
-2.8216 1.6291 9.1867
0.0000 -3.2582 9.1867
Ce Th Al
3 1 8
direct
0.0000 0.0000 0.0000
0.1235 0.1235 0.1235
0.6268 0.6268 0.6268
0.5004 0.5004 0.5004
0.0627 0.0627 0.5624
0.0627 0.5624 0.0627
0.0626 0.5629 0.5629
0.3128 0.3128 0.3128
0.5624 0.0627 0.0627
0.5629 0.0626 0.5629
0.5629 0.5629 0.0626
0.8125 0.8125 0.8125
```

Computed properties:
For the calculated density, the calculation gives 5.690 g/cm3. The value obtained for the formation energy is -448.0 meV/atom. The spin magnetization is 2.766 μB/f.u. Its space group is R3m.